Record 1
Density functional theory data (GGA-PBE) for a geometry-optimized AcDy2Sn structure.

The space group is Fm-3m (No. 225) and the conventional cell measures 7.8455, 7.8455 and 7.8455 Å, with angles of 90.00, 90.00 and 90.00 degrees. The asymmetric unit holds Ac at (0.0000, 0.0000, 0.0000), Dy at (0.2500, 0.2500, 0.2500) and Sn at (0.0000, 0.0000, 0.5000).

The calculation puts the mass density at 9.225 g cm⁻³. The value obtained for the total energy is -4.489 eV per atom. The calculation puts the volume at 482.91 Å³/cell. The calculation puts the formation energy at -0.6 eV per formula unit. The value obtained for the relative energy among the computed polymorphs is 173 meV per atom.

---

Record 2
Density functional theory data (GGA-PBE) for a geometry-optimized Ac3DySn4 structure.

The space group is Pmn2_1 (No. 31) and the conventional cell measures 12.4879, 6.7906 and 6.6130 Å, with angles of 90.00, 90.00 and 90.00 degrees. The asymmetric unit holds Ac at (0.0000, 0.0754, 0.0000), Ac at (0.2490, 0.3011, 0.4973), Dy at (0.0000, 0.5689, 0.4990), Sn at (0.0000, 0.0765, 0.5000), Sn at (0.0000, 0.5545, 0.9991) and Sn at (0.2077, 0.8114, 0.4973).

The calculation puts the mass density at 7.807 g cm⁻³. The value obtained for the total energy is -4.630 eV per atom. The calculation puts the volume at 560.79 Å³/cell. The calculation puts the formation energy at -4.1 eV per formula unit.

---

Record 3
Density functional theory data (GGA-PBE) for a geometry-optimized Ac3DySn2 structure.

The space group is Ibam (No. 72) and the conventional cell measures 6.9429, 18.0652 and 6.9436 Å, with angles of 90.00, 90.00 and 90.00 degrees. The asymmetric unit holds Ac at (0.0000, 0.0000, 0.2500), Ac at (0.2455, 0.1764, 0.0000), Dy at (0.0000, 0.5000, 0.2500) and Sn at (0.2340, 0.3681, 0.0000).

The calculation puts the mass density at 8.244 g cm⁻³. The value obtained for the total energy is -4.660 eV per atom. The calculation puts the volume at 870.90 Å³/cell. The calculation puts the formation energy at -3.0 eV per formula unit.

---

Record 4
Density functional theory data (GGA-PBE) for a geometry-optimized Ac5DySn4 structure.

The space group is C2/m (No. 12) and the conventional cell measures 17.5944, 5.5871 and 7.7147 Å, with angles of 90.00, 91.50 and 90.00 degrees. The asymmetric unit holds Ac at (0.0000, 0.0000, 0.0000), Ac at (0.1637, 0.5000, 0.0031), Ac at (0.1669, 0.5000, 0.5056), Dy at (0.0000, 0.0000, 0.5000), Sn at (0.0068, 0.5000, 0.2685) and Sn at (0.1711, 0.0000, 0.7478).

The calculation puts the mass density at 7.764 g cm⁻³. The value obtained for the total energy is -4.609 eV per atom. The calculation puts the volume at 758.12 Å³/cell. The calculation puts the formation energy at -4.9 eV per formula unit.

---

Record 5
Density functional theory data (GGA-PBE) for a geometry-optimized Ac2DySn2 structure.

The space group is Cmc2_1 (No. 36) and the conventional cell measures 5.2913, 19.2581 and 6.9575 Å, with angles of 90.00, 90.00 and 90.00 degrees. The asymmetric unit holds Ac at (0.0000, 0.0003, 0.0000), Ac at (0.0000, 0.1970, 0.2508), Dy at (0.0000, 0.3993, 0.2493), Sn at (0.0000, 0.1789, 0.7507) and Sn at (0.0000, 0.4257, 0.7505).

The calculation puts the mass density at 8.000 g cm⁻³. The value obtained for the total energy is -4.748 eV per atom. The calculation puts the volume at 708.98 Å³/cell. The calculation puts the formation energy at -2.9 eV per formula unit. The value obtained for the relative energy among the computed polymorphs is 61 meV per atom.

---

Record 6
Density functional theory data (GGA-PBE) for a geometry-optimized Ac2DySn2 structure.

The space group is Immm (No. 71) and the conventional cell measures 4.8371, 7.0063 and 10.2745 Å, with angles of 90.00, 90.00 and 90.00 degrees. The asymmetric unit holds Ac at (0.0000, 0.0000, 0.2028), Dy at (0.0000, 0.5000, 0.0000) and Sn at (0.0000, 0.2804, 0.5000).

The calculation puts the mass density at 8.145 g cm⁻³. The value obtained for the total energy is -4.809 eV per atom. The calculation puts the volume at 348.20 Å³/cell. The calculation puts the formation energy at -3.2 eV per formula unit. The value obtained for the relative energy among the computed polymorphs is 0 meV per atom.